Below is a geometry-optimized Sr2CaZn structure, with properties calculated at the PBE-GGA level.

Crystal system = trigonal
Total energy = -6.62 eV per cell
Calculated volume = 42.531 Å³/atom
Magnetization = 0.0 μB per cell
DOS at the Fermi energy = 4.975 states/eV per cell

extended XYZ file:
```
4
Lattice="2.1026 1.2139 11.1091 -2.1026 1.2139 11.1091 0.0000 -2.4278 11.1091" Properties=species:S:1:pos:R:3 pbc="T T T"
Sr 0.0000 0.0000 7.7190
Sr 0.0000 0.0000 25.6083
Ca 0.0000 0.0000 0.0000
Zn 0.0000 0.0000 16.6637
```

=====

Below is a geometry-optimized SrCaZn2 structure, with properties calculated at the PBE-GGA level.

Crystal system = cubic
Total energy = -6.20 eV per cell
Calculated volume = 24.443 Å³/atom
Magnetization = 0.0 μB per cell
DOS at the Fermi energy = 0.678 states/eV per cell

extended XYZ file:
```
4
Lattice="0.0000 3.6565 3.6565 3.6565 0.0000 3.6565 3.6565 3.6565 0.0000" Properties=species:S:1:pos:R:3 pbc="T T T"
Sr 0.0000 0.0000 0.0000
Ca 5.4847 5.4847 5.4847
Zn 1.8282 1.8282 1.8282
Zn 3.6565 3.6565 3.6565
```

=====

Below is a geometry-optimized Sr2CaZn structure, with properties calculated at the PBE-GGA level.

Crystal system = tetragonal
Total energy = -12.61 eV per cell
Calculated volume = 42.140 Å³/atom
Magnetization = 0.0 μB per cell
DOS at the Fermi energy = 6.234 states/eV per cell

extended XYZ file:
```
8
Lattice="-4.9279 4.9279 3.4705 4.9279 -4.9279 3.4705 4.9279 4.9279 -3.4705" Properties=species:S:1:pos:R:3 pbc="T T T"
Sr 7.3919 1.6977 -0.8676
Sr 1.6977 2.4640 0.8676
Sr -2.4640 3.2303 2.6029
Sr 3.2303 2.4640 4.3381
Ca 4.9279 0.0000 1.7353
Ca 0.0000 0.0000 3.4705
Zn 0.0000 0.0000 0.0000
Zn 0.0000 4.9279 1.7353
```

=====

Below is a geometry-optimized Sr2Ca9Zn3 structure, with properties calculated at the PBE-GGA level.

Crystal system = monoclinic
Total energy = -52.09 eV per cell
Calculated volume = 36.070 Å³/atom
Magnetization = 0.0 μB per cell
DOS at the Fermi energy = 36.536 states/eV per cell

extended XYZ file:
```
28
Lattice="8.8648 -4.7637 0.0000 8.8648 4.7637 0.0000 -6.2371 0.0000 11.9579" Properties=species:S:1:pos:R:3 pbc="T T T"
Sr 1.8011 0.7658 3.0474
Sr -1.3174 -0.7658 9.0263
Sr 12.8100 0.7658 2.9316
Sr 9.6914 -0.7658 8.9105
Ca -4.7060 0.2180 10.9524
Ca -1.5875 -0.2180 4.9735
Ca 1.3061 0.8128 6.8047
Ca 5.3911 1.9439 3.0205
Ca 1.1898 1.0678 11.5241
Ca 4.1870 1.6022 8.9684
Ca 4.4246 -0.8128 0.8257
Ca 9.2199 1.9439 2.9585
Ca 7.1842 1.0678 6.4128
Ca 4.3083 -1.0678 5.5451
Ca 2.2726 -1.9439 8.9994
Ca 7.0679 0.8128 11.1322
Ca 7.3055 -1.6022 2.9895
Ca 10.3027 -1.0678 0.4338
Ca 6.1014 -1.9439 8.9374
Ca 10.1864 -0.8128 5.1532
Ca 13.0800 0.2180 6.9844
Ca 16.1985 -0.2180 1.0055
Zn 4.4324 2.3819 0.0000
Zn 3.9827 2.1622 5.7589
Zn 10.6284 2.1622 0.2200
Zn 1.3139 -2.3819 5.9789
Zn 0.8642 -2.1622 11.7379
Zn 7.5098 -2.1622 6.1989
```

=====

Below is a geometry-optimized Sr2CaZn structure, with properties calculated at the PBE-GGA level.

Crystal system = monoclinic
Total energy = -6.76 eV per cell
Calculated volume = 41.687 Å³/atom
Magnetization = 0.0 μB per cell
DOS at the Fermi energy = 3.287 states/eV per cell

extended XYZ file:
```
4
Lattice="4.6218 0.0000 0.0000 0.0000 4.3575 0.0000 -2.3028 0.0000 8.2797" Properties=species:S:1:pos:R:3 pbc="T T T"
Sr 0.0000 0.0000 0.0000
Sr 0.0065 2.1788 5.6555
Ca 2.3105 2.1788 2.5227
Zn 2.3179 0.0000 4.8213
```

=====

Below is a geometry-optimized SrCaZn2 structure, with properties calculated at the PBE-GGA level.

Crystal system = trigonal
Total energy = -7.01 eV per cell
Calculated volume = 31.912 Å³/atom
Magnetization = 0.0 μB per cell
DOS at the Fermi energy = 3.294 states/eV per cell

extended XYZ file:
```
4
Lattice="2.2506 1.2994 7.2747 -2.2506 1.2994 7.2747 0.0000 -2.5988 7.2747" Properties=species:S:1:pos:R:3 pbc="T T T"
Sr 0.0000 0.0000 0.0000
Ca 0.0000 0.0000 17.9724
Zn 0.0000 0.0000 5.1790
Zn 0.0000 0.0000 12.4621
```

=====

Below is a geometry-optimized Sr5Ca2Zn2 structure, with properties calculated at the PBE-GGA level.

Crystal system = orthorhombic
Total energy = -30.69 eV per cell
Calculated volume = 41.849 Å³/atom
Magnetization = 0.0 μB per cell
DOS at the Fermi energy = 21.235 states/eV per cell

extended XYZ file:
```
18
Lattice="11.2098 -4.0919 0.0000 11.2098 4.0919 0.0000 0.0000 0.0000 8.2111" Properties=species:S:1:pos:R:3 pbc="T T T"
Sr 0.0000 0.0000 0.0000
Sr 8.6752 2.5631 5.6441
Sr 8.6752 1.5288 1.5385
Sr 13.7444 2.5631 5.6441
Sr 13.7444 1.5288 1.5385
Sr 11.2098 0.0000 4.1055
Sr 8.6752 -1.5288 6.6725
Sr 8.6752 -2.5631 2.5670
Sr 13.7444 -1.5288 6.6725
Sr 13.7444 -2.5631 2.5670
Ca 5.3239 0.0000 0.0000
Ca 5.8859 0.0000 4.1055
Ca 16.5337 0.0000 4.1055
Ca 17.0958 0.0000 0.0000
Zn 11.2098 3.1996 3.2063
Zn 11.2098 0.8923 7.3118
Zn 11.2098 -0.8923 0.8992
Zn 11.2098 -3.1996 5.0048
```

=====

Below is a geometry-optimized Sr2CaZn structure, with properties calculated at the PBE-GGA level.

Crystal system = tetragonal
Total energy = -6.44 eV per cell
Calculated volume = 38.133 Å³/atom
Magnetization = 0.0 μB per cell
DOS at the Fermi energy = 6.031 states/eV per cell

extended XYZ file:
```
4
Lattice="5.7680 0.0000 0.0000 0.0000 5.7680 0.0000 0.0000 0.0000 4.5847" Properties=species:S:1:pos:R:3 pbc="T T T"
Sr 0.0000 2.8840 0.0000
Sr 2.8840 0.0000 0.0000
Ca 0.0000 0.0000 2.2923
Zn 2.8840 2.8840 2.2923
```

=====

Below is a geometry-optimized Sr5CaZn6 structure, with properties calculated at the PBE-GGA level.

Crystal system = monoclinic
Total energy = -20.28 eV per cell
Calculated volume = 28.978 Å³/atom
Magnetization = 0.0 μB per cell
DOS at the Fermi energy = 7.471 states/eV per cell

extended XYZ file:
```
12
Lattice="5.4944 0.0000 0.0000 0.0000 7.6960 0.0000 -2.7466 0.0000 8.2234" Properties=species:S:1:pos:R:3 pbc="T T T"
Sr 0.0000 0.0000 0.0000
Sr -0.0037 0.0000 5.4649
Sr -0.0045 3.8480 5.4955
Sr 2.7524 3.8480 2.7279
Sr 2.7515 0.0000 2.7585
Ca 0.0000 3.8480 0.0000
Zn 0.0084 1.9719 2.6836
Zn 0.0084 5.7241 2.6836
Zn 2.7472 1.9971 0.0000
Zn 2.7472 5.6989 0.0000
Zn 2.7395 1.9719 5.5399
Zn 2.7395 5.7241 5.5399
```

=====

Below is a geometry-optimized Sr2CaZn structure, with properties calculated at the PBE-GGA level.

Crystal system = orthorhombic
Total energy = -6.62 eV per cell
Calculated volume = 39.656 Å³/atom
Magnetization = 0.0 μB per cell
DOS at the Fermi energy = 4.993 states/eV per cell

extended XYZ file:
```
4
Lattice="-2.0390 3.0765 6.3216 2.0390 -3.0765 6.3216 2.0390 3.0765 -6.3216" Properties=species:S:1:pos:R:3 pbc="T T T"
Sr 0.0000 0.0000 2.4995
Sr 0.0000 0.0000 10.1436
Ca 0.0000 3.0765 0.0000
Zn 2.0390 0.0000 0.0000
```

=====

Below is a geometry-optimized Sr2CaZn structure, with properties calculated at the PBE-GGA level.

Crystal system = monoclinic
Total energy = -6.85 eV per cell
Calculated volume = 39.148 Å³/atom
Magnetization = 0.0 μB per cell
DOS at the Fermi energy = 4.747 states/eV per cell

extended XYZ file:
```
4
Lattice="6.9996 -2.0208 0.0000 6.9996 2.0208 0.0000 -2.7011 0.0000 5.5352" Properties=species:S:1:pos:R:3 pbc="T T T"
Sr 0.0000 0.0000 0.0000
Sr 0.8712 0.0000 3.8546
Ca 4.4156 0.0000 2.1648
Zn 9.3125 0.0000 1.1257
```

=====

Below is a geometry-optimized SrCaZn2 structure, with properties calculated at the PBE-GGA level.

Crystal system = monoclinic
Total energy = -6.78 eV per cell
Calculated volume = 27.219 Å³/atom
Magnetization = 0.0 μB per cell
DOS at the Fermi energy = 2.857 states/eV per cell

extended XYZ file:
```
4
Lattice="5.9681 -1.8941 0.0000 5.9681 1.8941 0.0000 -2.3346 0.0000 4.8157" Properties=species:S:1:pos:R:3 pbc="T T T"
Sr 0.0000 0.0000 0.0000
Ca 0.7834 0.0000 3.3515
Zn 4.1612 0.0000 2.1000
Zn 8.5527 0.0000 1.2616
```

=====

Below is a geometry-optimized Sr3CaZn structure, with properties calculated at the PBE-GGA level.

Crystal system = cubic
ΔE to the lowest computed polymorph = 0.809 eV per atom
Calculated volume = 65.630 Å³/atom
Magnetization = 2.1 μB per cell
DOS at the Fermi energy = 11.244 states/eV per cell

extended XYZ file:
```
5
Lattice="6.8975 0.0000 0.0000 0.0000 6.8975 0.0000 0.0000 0.0000 6.8975" Properties=species:S:1:pos:R:3 pbc="T T T"
Sr 0.0000 0.0000 3.4487
Sr 0.0000 3.4487 0.0000
Sr 3.4487 0.0000 0.0000
Ca 0.0000 0.0000 0.0000
Zn 3.4487 3.4487 3.4487
```

=====

Below is a geometry-optimized SrCa3Zn8 structure, with properties calculated at the PBE-GGA level.

Crystal system = trigonal
ΔE to the lowest computed polymorph = 0.011 eV per atom
Calculated volume = 21.029 Å³/atom
Magnetization = 0.0 μB per cell
DOS at the Fermi energy = 8.102 states/eV per cell

extended XYZ file:
```
12
Lattice="2.8096 1.6221 9.2284 -2.8096 1.6221 9.2284 0.0000 -3.2443 9.2284" Properties=species:S:1:pos:R:3 pbc="T T T"
Sr 0.0000 0.0000 0.0000
Ca 0.0000 0.0000 3.4840
Ca 0.0000 0.0000 13.8273
Ca 0.0000 0.0000 17.2594
Zn 0.0000 -1.6115 6.3000
Zn -1.3956 0.8058 6.3000
Zn -1.3996 -0.8081 10.9936
Zn 0.0000 0.0000 8.6146
Zn 1.3956 0.8058 6.3000
Zn 1.3996 -0.8081 10.9936
Zn 0.0000 1.6162 10.9936
Zn 0.0000 0.0000 22.5073
```

=====

Below is a geometry-optimized SrCaZn3 structure, with properties calculated at the PBE-GGA level.

Crystal system = orthorhombic
ΔE to the lowest computed polymorph = 0.000 eV per atom
Calculated volume = 25.905 Å³/atom
Magnetization = 0.0 μB per cell
DOS at the Fermi energy = 7.271 states/eV per cell

extended XYZ file:
```
10
Lattice="2.0702 -13.7115 0.0000 2.0702 13.7115 0.0000 0.0000 0.0000 4.5629" Properties=species:S:1:pos:R:3 pbc="T T T"
Sr 2.0702 11.7198 3.4222
Sr 2.0702 -11.7198 1.1407
Ca 2.0702 8.0381 1.1407
Ca 2.0702 -8.0381 3.4222
Zn 2.0702 4.7292 1.1407
Zn 2.0702 3.3287 3.4222
Zn 2.0702 0.6662 3.4222
Zn 2.0702 -0.6662 1.1407
Zn 2.0702 -3.3287 1.1407
Zn 2.0702 -4.7292 3.4222
```

=====

Below is a geometry-optimized Sr6CaZn2 structure, with properties calculated at the PBE-GGA level.

Crystal system = orthorhombic
Total energy = -30.41 eV per cell
Calculated volume = 43.249 Å³/atom
Magnetization = 0.0 μB per cell
DOS at the Fermi energy = 21.550 states/eV per cell

extended XYZ file:
```
18
Lattice="-5.5344 5.6926 6.1773 5.5344 -5.6926 6.1773 5.5344 5.6926 -6.1773" Properties=species:S:1:pos:R:3 pbc="T T T"
Sr 5.5344 3.3694 -3.1604
Sr 3.2202 2.1211 0.0000
Sr 7.8486 2.1211 0.0000
Sr 2.0532 5.6926 -2.1307
Sr 3.4812 0.0000 4.0467
Sr 0.0000 2.3232 3.0169
Sr 5.5344 3.3694 3.1604
Sr 2.0532 5.6926 2.1307
Sr 3.4812 0.0000 8.3080
Sr -2.3142 3.5715 6.1773
Sr 2.3142 3.5715 6.1773
Sr 0.0000 2.3232 9.3378
Ca 0.0000 0.0000 0.0000
Ca 0.0000 0.0000 6.1773
Zn 5.5344 0.0000 1.3552
Zn 0.0000 3.6473 0.0000
Zn 0.0000 7.7379 0.0000
Zn 0.0000 5.6926 4.8222
```

=====

Below is a geometry-optimized Sr3CaZn4 structure, with properties calculated at the PBE-GGA level.

Crystal system = tetragonal
Total energy = -13.64 eV per cell
Calculated volume = 28.465 Å³/atom
Magnetization = 0.0 μB per cell
DOS at the Fermi energy = 6.240 states/eV per cell

extended XYZ file:
```
8
Lattice="3.8815 0.0000 0.0000 0.0000 3.8815 0.0000 0.0000 0.0000 15.1147" Properties=species:S:1:pos:R:3 pbc="T T T"
Sr 0.0000 0.0000 0.0000
Sr 0.0000 0.0000 3.9086
Sr 0.0000 0.0000 11.2061
Ca 0.0000 0.0000 7.5574
Zn 1.9408 1.9408 1.9548
Zn 1.9408 1.9408 5.9334
Zn 1.9408 1.9408 9.1813
Zn 1.9408 1.9408 13.1600
```

=====

Below is a geometry-optimized SrCaZn2 structure, with properties calculated at the PBE-GGA level.

Crystal system = monoclinic
Total energy = -6.99 eV per cell
Calculated volume = 27.390 Å³/atom
Magnetization = 0.0 μB per cell
DOS at the Fermi energy = 2.791 states/eV per cell

extended XYZ file:
```
4
Lattice="3.8115 -3.8314 0.0000 3.8115 3.8314 0.0000 -0.0074 0.0000 3.7512" Properties=species:S:1:pos:R:3 pbc="T T T"
Sr 0.0000 0.0000 0.0000
Ca 3.8115 0.0000 0.0000
Zn 1.9020 1.9157 1.8756
Zn 1.9020 -1.9157 1.8756
```

=====

Below is a geometry-optimized SrCaZn2 structure, with properties calculated at the PBE-GGA level.

Crystal system = orthorhombic
Total energy = -14.21 eV per cell
Calculated volume = 29.400 Å³/atom
Magnetization = 0.0 μB per cell
DOS at the Fermi energy = 5.344 states/eV per cell

extended XYZ file:
```
8
Lattice="4.5099 0.0000 0.0000 0.0000 6.2115 0.0000 0.0000 0.0000 8.3959" Properties=species:S:1:pos:R:3 pbc="T T T"
Sr 0.0000 0.8209 0.0000
Sr 0.0000 5.3906 4.1979
Ca 2.2550 2.2959 3.0003
Ca 2.2550 3.9157 7.1983
Zn 0.0000 2.2667 5.4262
Zn 0.0000 3.9449 1.2283
Zn 2.2550 1.0043 5.8896
Zn 2.2550 5.2072 1.6917
```

=====

Below is a geometry-optimized Sr2CaZn2 structure, with properties calculated at the PBE-GGA level.

Crystal system = tetragonal
ΔE to the lowest computed polymorph = 0.131 eV per atom
Calculated volume = 31.917 Å³/atom
Magnetization = 0.0 μB per cell
DOS at the Fermi energy = 10.299 states/eV per cell

extended XYZ file:
```
10
Lattice="9.3048 0.0000 0.0000 0.0000 9.3048 0.0000 0.0000 0.0000 3.6864" Properties=species:S:1:pos:R:3 pbc="T T T"
Sr 1.2690 3.3834 0.0000
Sr 3.3834 8.0358 0.0000
Sr 5.9214 1.2690 0.0000
Sr 8.0358 5.9214 0.0000
Ca 0.0000 0.0000 0.0000
Ca 4.6524 4.6524 0.0000
Zn 1.4950 6.1474 1.8432
Zn 3.1574 1.4950 1.8432
Zn 6.1474 7.8099 1.8432
Zn 7.8099 3.1574 1.8432
```